Entry 1:
The following is a DFT calculation (PBE) of Ir2OsF after structural relaxation.

Summary:
For the volume, the calculation gives 55.0 Å³/f.u. As for the energy: -7.325 eV/atom.

a b c (Å): 6.037 6.037 6.037
angles (deg): 90.00 90.00 90.00
Space group Fm-3m (No. 225)
Inequivalent atoms, fractional coordinates:
Ir: 0.250 0.250 0.250 (multiplicity 8)
Os: 0.000 0.000 0.000 (multiplicity 4)
F: 0.000 0.000 0.500 (multiplicity 4)

=====

Entry 2:
The following is a DFT calculation (PBE) of Ir3OsF after structural relaxation.

Summary:
For the volume, the calculation gives 106.3 Å³/f.u. As for the energy: -6.118 eV/atom.

a b c (Å): 4.737 4.737 4.737
angles (deg): 90.00 90.00 90.00
Space group Pm-3m (No. 221)
Inequivalent atoms, fractional coordinates:
Ir: 0.000 0.000 0.500 (multiplicity 3)
Os: 0.000 0.000 0.000 (multiplicity 1)
F: 0.500 0.500 0.500 (multiplicity 1)

=====

Entry 3:
The following is a DFT calculation (PBE) of Ir2OsF2 after structural relaxation.

Summary:
For the volume, the calculation gives 64.9 Å³/f.u. As for the energy: -6.507 eV/atom.

a b c (Å): 3.308 3.308 11.867
angles (deg): 90.00 90.00 90.00
Space group I4/mmm (No. 139)
Inequivalent atoms, fractional coordinates:
Ir: 0.000 0.000 0.107 (multiplicity 4)
Os: 0.000 0.000 0.500 (multiplicity 2)
F: 0.000 0.500 0.250 (multiplicity 4)

=====

Entry 4:
The following is a DFT calculation (PBE) of Rb2IrOsF6 after structural relaxation.

Summary:
For the volume, the calculation gives 186.6 Å³/f.u. As for the energy: -4.739 eV/atom.

a b c (Å): 5.853 5.853 10.893
angles (deg): 90.00 90.00 90.00
Space group I4/mmm (No. 139)
Inequivalent atoms, fractional coordinates:
Rb: 0.000 0.500 0.250 (multiplicity 4)
Ir: 0.000 0.000 0.000 (multiplicity 2)
Os: 0.000 0.000 0.500 (multiplicity 2)
F: 0.000 0.000 0.313 (multiplicity 4)
F: 0.250 0.250 0.000 (multiplicity 8)

=====

Entry 5:
The following is a DFT calculation (PBE) of Sc2IrOsF after structural relaxation.

Summary:
For the volume, the calculation gives 120.6 Å³/f.u. As for the energy: -6.918 eV/atom.

a b c (Å): 5.113 5.113 4.614
angles (deg): 90.00 90.00 90.00
Space group P4/mmm (No. 123)
Inequivalent atoms, fractional coordinates:
Sc: 0.000 0.500 0.000 (multiplicity 2)
Ir: 0.000 0.000 0.500 (multiplicity 1)
Os: 0.000 0.000 0.000 (multiplicity 1)
F: 0.500 0.500 0.500 (multiplicity 1)

=====

Entry 6:
The following is a DFT calculation (PBE) of TaIr2OsF after structural relaxation.

Summary:
For the volume, the calculation gives 90.1 Å³/f.u. As for the energy: -7.766 eV/atom.

a b c (Å): 4.852 4.852 3.826
angles (deg): 90.00 90.00 90.00
Space group P4/mmm (No. 123)
Inequivalent atoms, fractional coordinates:
Ta: 0.000 0.000 0.000 (multiplicity 1)
Ir: 0.000 0.500 0.000 (multiplicity 2)
Os: 0.500 0.500 0.500 (multiplicity 1)
F: 0.000 0.000 0.500 (multiplicity 1)

=====

So what do the calculations give for formation energy (no corrections)? Going down the list: 0.38 1.82 0.03 -1.41 0.01 0.77 eV per atom.